First-principles (PBE) data for CaPd2Au3 after structural relaxation, as listed in Alexandria via LeMat-Bulk.

The structure belongs to space group R-3m (No. 166, hexagonal axes); the cell edges are 5.9103, 5.9103 and 21.6634 Å and the angles 90.00°, 90.00° and 120.00°. Symmetry generates all atoms from Ca at (0.0000, 0.0000, 0.2252), Pd at (0.0000, 0.0000, 0.0000), Pd at (0.0000, 0.5000, 0.0000) and Au at (0.0030, 0.5015, 0.2265).

Its calculated formation energy is -0.38 eV/atom.

First-principles (PBE) data for Si2HgBr after structural relaxation, as listed in Alexandria via LeMat-Bulk.

The structure belongs to space group I4/mmm (No. 139); the cell edges are 4.488, 4.488 and 8.629 Å and the angles 90.00°, 90.00° and 90.00°. Symmetry generates all atoms from Si at (0.000, 0.500, 0.250), Hg at (0.000, 0.000, 0.000) and Br at (0.000, 0.000, 0.500).

The value obtained for the energy above the most stable polymorph in this dataset is 578 meV/atom. The value obtained for the uncorrected formation energy is 2.902 eV per formula unit.

First-principles (PBE) data for FeTePC2 after structural relaxation, as listed in Alexandria via LeMat-Bulk.

The structure belongs to space group P4/mmm (No. 123); the cell edges are 4.120, 4.120 and 5.147 Å and the angles 90.00°, 90.00° and 90.00°. Symmetry generates all atoms from Fe at (0.000, 0.000, 0.000), Te at (0.500, 0.500, 0.500), P at (0.500, 0.500, 0.000) and C at (0.000, 0.500, 0.500).

The value obtained for the uncorrected formation energy is 13.018 eV per formula unit.

First-principles (PBE) data for ZrTeS after structural relaxation, as listed in Alexandria via LeMat-Bulk.

The structure belongs to space group P1 (No. 1); the cell edges are 3.420, 6.615 and 7.590 Å and the angles 77.96°, 88.83° and 90.00°. Symmetry generates all atoms from Zr at (0.000, 0.000, 0.000), Zr at (0.000, 0.480, 0.000), Te at (0.488, 0.177, 0.264), Te at (0.985, 0.662, 0.327), S at (0.506, 0.771, 0.869) and S at (0.508, 0.282, 0.825).

The value obtained for the energy above the most stable polymorph in this dataset is 79 meV/atom. The value obtained for the uncorrected formation energy is -3.372 eV per formula unit.

First-principles (PBE) data for Cs2Pm2I7 after structural relaxation, as listed in Alexandria via LeMat-Bulk.

The structure belongs to space group Cmmm (No. 65); the cell edges are 10.208, 12.081 and 8.752 Å and the angles 90.00°, 90.00° and 90.00°. Symmetry generates all atoms from Cs at (0.222, 0.000, 0.000), Pm at (0.000, 0.282, 0.500), I at (0.000, 0.000, 0.500), I at (0.000, 0.500, 0.286) and I at (0.250, 0.250, 0.273).

The value obtained for the uncorrected formation energy is -14.620 eV per formula unit.

First-principles (PBE) data for Ti4H7 after structural relaxation, as listed in Alexandria via LeMat-Bulk.

The structure belongs to space group P-43m (No. 215); the cell edges are 4.379, 4.379 and 4.379 Å and the angles 90.00°, 90.00° and 90.00°. Symmetry generates all atoms from Ti at (0.246, 0.246, 0.754), H at (0.000, 0.000, 0.500), H at (0.000, 0.500, 0.500) and H at (0.500, 0.500, 0.500).

Its final energy is -5.49 eV per atom.

First-principles (PBE) data for K2CoIr after structural relaxation, as listed in Alexandria via LeMat-Bulk.

The structure belongs to space group P4/mmm (No. 123); the cell edges are 2.791, 2.791 and 10.793 Å and the angles 90.00°, 90.00° and 90.00°. Symmetry generates all atoms from K at (0.000, 0.000, 0.244), Co at (0.500, 0.500, 0.500) and Ir at (0.500, 0.500, 0.000).

Its calculated formation energy is 1.08 eV/atom. The value obtained for the energy above the most stable polymorph in this dataset is 621 meV/atom.

First-principles (PBE) data for GeW after structural relaxation, as listed in Alexandria via LeMat-Bulk.

The structure belongs to space group Amm2 (No. 38); the cell edges are 3.299, 9.617 and 6.672 Å and the angles 90.00°, 90.00° and 90.00°. Symmetry generates all atoms from Ge at (0.000, 0.000, 0.000), Ge at (0.500, 0.138, 0.639), W at (0.000, 0.219, 0.346) and W at (0.500, 0.000, 0.310).

Its calculated formation energy is 0.43 eV/atom. The value obtained for the energy above the most stable polymorph in this dataset is 169 meV/atom.